Be2HgSb, relaxed, DFT PBE; density of states at the Fermi level = 4.6 states/eV per cell; space group = No. 122; raw formation energy = 0.524 eV per atom; E above lowest polymorph = 226 meV per atom
1.0
-2.8514 2.8514 5.5518
2.8514 -2.8514 5.5518
2.8514 2.8514 -5.5518
Be Hg Sb
4 2 2
Direct
0.1078 0.6250 0.9828
0.3750 0.3578 0.4828
0.6422 0.1250 0.0172
0.8750 0.8922 0.5172
0.2500 0.7500 0.5000
0.5000 0.5000 0.0000
0.0000 0.0000 0.0000
0.7500 0.2500 0.5000

***

Be2HgSb, relaxed, DFT PBE; density of states at the Fermi level = 1.1 states/eV per cell; space group = No. 44; raw formation energy = 0.483 eV per atom; E above lowest polymorph = 186 meV per atom
1.0
-1.7627 1.7922 5.9047
1.7627 -1.7922 5.9047
1.7627 1.7922 -5.9047
Be Hg Sb
2 1 1
Direct
0.0000 0.0000 0.0000
0.6077 0.1077 0.5000
0.4105 0.4105 0.0000
0.1716 0.6716 0.5000

***

Be2HgSb, relaxed, DFT PBE; density of states at the Fermi level = 1.4 states/eV per cell; space group = No. 71; raw formation energy = 0.594 eV per atom; E above lowest polymorph = 297 meV per atom
1.0
-2.1176 2.8704 3.1126
2.1176 -2.8704 3.1126
2.1176 2.8704 -3.1126
Be Hg Sb
2 1 1
Direct
0.1848 0.1848 0.0000
0.8152 0.8152 0.0000
0.0000 0.5000 0.5000
0.5000 0.0000 0.5000

***

Be2SnHgSb, relaxed, DFT PBE; density of states at the Fermi level = 2.7 states/eV per cell; space group = No. 123; raw formation energy = 0.765 eV per atom
1.0
4.5155 0.0000 0.0000
0.0000 4.5155 0.0000
0.0000 0.0000 5.8123
Be Sn Hg Sb
2 1 1 1
Direct
0.0000 0.5000 0.0000
0.5000 0.0000 0.0000
0.0000 0.0000 0.5000
0.0000 0.0000 0.0000
0.5000 0.5000 0.5000

***

TaBeHgSb2, relaxed, DFT PBE; density of states at the Fermi level = 2.0 states/eV per cell; space group = No. 123; raw formation energy = 0.949 eV per atom
1.0
5.3239 0.0000 0.0000
0.0000 5.3239 0.0000
0.0000 0.0000 5.4938
Ta Be Hg Sb
1 1 1 2
Direct
0.0000 0.0000 0.0000
0.5000 0.5000 0.5000
0.0000 0.0000 0.5000
0.0000 0.5000 0.0000
0.5000 0.0000 0.0000

***

BeHgSb2Te, relaxed, DFT PBE; density of states at the Fermi level = 4.0 states/eV per cell; space group = No. 123; raw formation energy = 0.442 eV per atom; E above lowest polymorph = 0 meV per atom
1.0
4.9923 0.0000 0.0000
0.0000 4.9923 0.0000
0.0000 0.0000 5.1498
Be Hg Sb Te
1 1 2 1
Direct
0.0000 0.0000 0.0000
0.5000 0.5000 0.5000
0.0000 0.5000 0.0000
0.5000 0.0000 0.0000
0.0000 0.0000 0.5000

***

BeHgSb2Te, relaxed, DFT PBE; density of states at the Fermi level = 6.0 states/eV per cell; space group = No. 123; raw formation energy = 1.291 eV per atom; E above lowest polymorph = 849 meV per atom
1.0
5.5340 0.0000 0.0000
0.0000 5.5340 0.0000
0.0000 0.0000 5.7014
Be Hg Sb Te
1 1 2 1
Direct
0.0000 0.0000 0.0000
0.5000 0.5000 0.5000
0.0000 0.5000 0.5000
0.5000 0.0000 0.5000
0.5000 0.5000 0.0000

***

BeHgSb2Te, relaxed, DFT PBE; density of states at the Fermi level = 3.3 states/eV per cell; space group = No. 123; raw formation energy = 0.697 eV per atom; E above lowest polymorph = 256 meV per atom
1.0
5.6517 0.0000 0.0000
0.0000 5.6517 0.0000
0.0000 0.0000 4.4303
Be Hg Sb Te
1 1 2 1
Direct
0.0000 0.0000 0.0000
0.0000 0.0000 0.5000
0.0000 0.5000 0.5000
0.5000 0.0000 0.5000
0.5000 0.5000 0.0000